Material: LaTl2In
Method: DFT, GGA-PBEsol
State: relaxed

Results
Density of states at the Fermi level = 2.39 states/eV/f.u.
Total energy = -3.833 eV/atom
E_form = -435 meV per atom

Cell lengths 4.7668, 4.7668, 4.7234 Å; angles 90.00, 90.00, 90.00 degrees
Closest atoms and distances in Å follow each position.
Fractional coordinates of all 4 atoms:
La  0.0000  0.0000  0.0000  8 Tl 3.36, 4 In 3.37
Tl  0.0000  0.5000  0.5000  4 La 3.36, 4 In 3.36, 4 Tl 3.37
Tl  0.5000  0.0000  0.5000  4 La 3.36, 4 In 3.36, 4 Tl 3.37
In  0.5000  0.5000  0.0000  8 Tl 3.36, 4 La 3.37